Material: Tb5Co19P12
Method: DFT, GGA-PBE
State: optimized geometry Values from VASP.

```
&SYSTEM
  ibrav = 0, nat = 36, ntyp = 3
/
ATOMIC_SPECIES
Co 58.93 Co.upf
P 30.97 P.upf
Tb 158.93 Tb.upf
CELL_PARAMETERS angstrom
-10.1444 -2.9732 5.6848
5.2360 -7.8404 -7.4282
1.9671 -1.3454 2.8066
ATOMIC_POSITIONS angstrom
Co 4.7257 -6.2762 -3.9056
Co 1.9210 -8.6015 -3.0545
Co -3.2740 -3.0919 3.2277
Co -2.7887 -2.6913 0.6645
Co -0.0481 -3.5586 -1.6721
Co 0.0000 0.0000 0.0000
Co -5.6114 -1.6446 3.1446
Co -5.0804 -7.3196 0.0521
Co -2.1933 -4.8320 -0.7790
Co -2.8158 -6.6219 1.2144
Co -0.4168 -3.7578 0.9059
Co 2.3818 -6.8030 -4.9304
Co -7.1836 -3.7759 3.2249
Co -6.0123 -6.0909 3.7093
Co 2.8963 -4.3369 -4.1089
Co -2.0060 -8.2925 -2.5690
Co -6.2666 -2.7976 5.4662
Co -0.8940 -7.2301 -0.4241
Co 2.2512 -4.8404 -1.4830
P 1.9336 -2.8954 -2.7432
P 4.2873 -6.4199 -6.0823
P -0.8893 -1.9592 -0.3159
P 0.0691 -8.7596 -1.8323
P -4.7510 -7.2342 2.2773
P -2.2385 -4.5551 1.8006
P 2.8948 -6.5495 -2.7533
P -3.7463 -1.0980 2.0994
P -8.3064 -2.4345 4.6548
P 0.3144 -5.3630 -0.3760
P -3.0957 -6.8202 -1.0995
P -5.1125 -4.0155 4.0736
Tb -3.0037 -9.4570 -0.0129
Tb 0.1092 -6.2180 -3.0572
Tb 1.9661 -2.1440 0.0093
Tb -0.9202 -1.2306 2.4701
Tb -5.0176 -4.5956 1.3138
```

## Properties
Energy of formation: -0.88 eV per atom
Raw total energy: -7.081 eV/atom
Crystal system: hexagonal
Density: 8.26 g cm⁻³
V: 459.4 Å³ per cell